(1)
Computed, not measured: a geometry-optimized TlWBr2 structure at the GGA-PBE level of DFT.

Results
ΔE to the lowest computed polymorph, meV/atom: 76
Magnetization, Bohr magnetons per cell: 0.000
Raw formation energy, eV per formula unit: 1.3

Lattice parameters (Å, degrees): 3.182 3.167 10.128 89.83 90.00 90.00
Atoms (fractional coordinates):
Br (0.000, 0.748, 0.949)
Br (0.000, 0.752, 0.551)
W (0.500, 0.750, 0.750)
Tl (0.500, 0.250, 0.250)


(2)
Computed, not measured: a geometry-optimized Mg2FePd2 structure at the GGA-PBE level of DFT.

Results
ΔE to the lowest computed polymorph, meV/atom: 112
Magnetization, Bohr magnetons per cell: 6.216
Energy of formation from the pure elements, eV/atom: -0.1555

Lattice parameters (Å, degrees): 7.506 7.506 2.888 90.00 90.00 90.00
Atoms (fractional coordinates):
Mg (0.864, 0.636, 0.000)
Mg (0.364, 0.864, 0.000)
Mg (0.136, 0.364, 0.000)
Mg (0.636, 0.136, 0.000)
Pd (0.663, 0.837, 0.500)
Pd (0.837, 0.337, 0.500)
Pd (0.163, 0.663, 0.500)
Pd (0.337, 0.163, 0.500)
Fe (0.500, 0.500, 0.000)
Fe (0.000, 0.000, 0.000)


What did the second record say?
Computed, not measured: a geometry-optimized Mg2FePd2 structure at the GGA-PBE level of DFT.

Results
ΔE to the lowest computed polymorph, meV/atom: 112
Magnetization, Bohr magnetons per cell: 6.216
Energy of formation from the pure elements, eV/atom: -0.1555

Lattice parameters (Å, degrees): 7.506 7.506 2.888 90.00 90.00 90.00
Atoms (fractional coordinates):
Mg (0.864, 0.636, 0.000)
Mg (0.364, 0.864, 0.000)
Mg (0.136, 0.364, 0.000)
Mg (0.636, 0.136, 0.000)
Pd (0.663, 0.837, 0.500)
Pd (0.837, 0.337, 0.500)
Pd (0.163, 0.663, 0.500)
Pd (0.337, 0.163, 0.500)
Fe (0.500, 0.500, 0.000)
Fe (0.000, 0.000, 0.000)